The following is a DFT calculation (PBE+U) of an optimized crystal structure of Zn2NiAsO6.

Values from the calculation:
E_tot, eV/atom: -5.15

Cell lengths 9.585, 8.635, 5.217 Å; angles 90.00, 95.20, 90.00 degrees
Space group C2/c (No. 15)
Inequivalent atoms, fractional coordinates:
Zn 0.185 0.099 0.293
Ni 0.000 0.416 0.250
As 0.000 0.242 0.750
O 0.100 0.263 0.075
O 0.106 0.413 0.625
O 0.127 0.106 0.647